Entry from Alexandria: a relaxed BaCrTeO6 crystal (PBE with a Hubbard U).

The structure in POSCAR format:
```
BaCrTeO6
1.0
-4.920 -0.559 1.861
-0.816 -1.292 4.977
-0.193 5.641 1.489
Cr O Ba Te
1 6 1 1
Direct
0.674 0.653 0.500
0.997 0.398 0.309
0.605 0.398 0.691
0.388 0.611 0.310
0.609 0.000 0.310
0.392 0.000 0.690
0.001 0.611 0.690
0.002 0.996 0.000
0.333 0.334 0.500
```

Total energy ... -6.468 eV/atom
Calculated volume ... 138 Å³ per cell